# 1
# Ho3Re3Mo2N12 | the Open Quantum Materials Database | PBE | relaxed
data_Ho3Re3Mo2N12
_chemical_formula_sum 'Ho24 Re24 Mo16 N96'
_space_group_name_H-M_alt 'I a -3 d'
_space_group_IT_number 230
_space_group_name_Hall '-I 4bd 2c 3'
_cell_length_a 12.656
_cell_length_b 12.656
_cell_length_c 12.656
_cell_angle_alpha 90.00
_cell_angle_beta 90.00
_cell_angle_gamma 90.00
loop_
_atom_site_label
_atom_site_type_symbol
_atom_site_fract_x
_atom_site_fract_y
_atom_site_fract_z
Ho1 Ho 0.000 0.250 0.125
Re1 Re 0.000 0.250 0.375
Mo1 Mo 0.000 0.000 0.000
N1 N 0.032 0.054 0.651
# Total energy ... -9.201 eV/atom
# Size of the total moment ... 0.000 μB per atom

***

# 2
# Ho3Mo2W3N12 | the Open Quantum Materials Database | PBE | relaxed
data_Ho3Mo2W3N12
_chemical_formula_sum 'Ho24 Mo16 W24 N96'
_space_group_name_H-M_alt 'I a -3 d'
_space_group_IT_number 230
_space_group_name_Hall '-I 4bd 2c 3'
_cell_length_a 12.699
_cell_length_b 12.699
_cell_length_c 12.699
_cell_angle_alpha 90.00
_cell_angle_beta 90.00
_cell_angle_gamma 90.00
loop_
_atom_site_label
_atom_site_type_symbol
_atom_site_fract_x
_atom_site_fract_y
_atom_site_fract_z
Ho1 Ho 0.000 0.250 0.125
Mo1 Mo 0.000 0.000 0.000
W1 W 0.000 0.250 0.375
N1 N 0.031 0.055 0.650
# Total energy ... -9.458 eV/atom
# Size of the total moment ... 0.150 μB per atom

***

# 3
# Ho3Mo3W2N12 | the Open Quantum Materials Database | PBE | relaxed
data_Ho3Mo3W2N12
_chemical_formula_sum 'Ho24 Mo24 W16 N96'
_space_group_name_H-M_alt 'I a -3 d'
_space_group_IT_number 230
_space_group_name_Hall '-I 4bd 2c 3'
_cell_length_a 12.641
_cell_length_b 12.641
_cell_length_c 12.641
_cell_angle_alpha 90.00
_cell_angle_beta 90.00
_cell_angle_gamma 90.00
loop_
_atom_site_label
_atom_site_type_symbol
_atom_site_fract_x
_atom_site_fract_y
_atom_site_fract_z
Ho1 Ho 0.000 0.250 0.125
Mo1 Mo 0.000 0.250 0.375
W1 W 0.000 0.000 0.000
N1 N 0.031 0.054 0.649
# Total energy ... -9.343 eV/atom
# Size of the total moment ... 0.000 μB per atom

***

# 4
# NdHoMo | the Open Quantum Materials Database | PBE | relaxed
data_NdHoMo
_chemical_formula_sum 'Nd4 Ho4 Mo4'
_space_group_name_H-M_alt 'F -4 3 m'
_space_group_IT_number 216
_space_group_name_Hall 'F -4 2 3'
_cell_length_a 6.928
_cell_length_b 6.928
_cell_length_c 6.928
_cell_angle_alpha 90.00
_cell_angle_beta 90.00
_cell_angle_gamma 90.00
loop_
_atom_site_label
_atom_site_type_symbol
_atom_site_fract_x
_atom_site_fract_y
_atom_site_fract_z
Nd1 Nd 0.000 0.000 0.000
Ho1 Ho 0.250 0.250 0.750
Mo1 Mo 0.250 0.250 0.250
# E_form ... 3.89 eV/f.u.
# Size of the total moment ... 0.313 μB per atom

***

# 5
# HoNiMo | the Open Quantum Materials Database | PBE | relaxed
data_HoNiMo
_chemical_formula_sum 'Ho4 Ni4 Mo4'
_space_group_name_H-M_alt 'F -4 3 m'
_space_group_IT_number 216
_space_group_name_Hall 'F -4 2 3'
_cell_length_a 6.162
_cell_length_b 6.162
_cell_length_c 6.162
_cell_angle_alpha 90.00
_cell_angle_beta 90.00
_cell_angle_gamma 90.00
loop_
_atom_site_label
_atom_site_type_symbol
_atom_site_fract_x
_atom_site_fract_y
_atom_site_fract_z
Ho1 Ho 0.000 0.000 0.000
Ni1 Ni 0.250 0.250 0.250
Mo1 Mo 0.000 0.000 0.500
# E_form ... 1.42 eV/f.u.
# Size of the total moment ... 0.010 μB per atom
# Energy above the most stable polymorph in this dataset ... 0.000 eV/atom

***

# 6
# HoNiMo | the Open Quantum Materials Database | PBE | relaxed
data_HoNiMo
_chemical_formula_sum 'Ho4 Ni4 Mo4'
_space_group_name_H-M_alt 'F -4 3 m'
_space_group_IT_number 216
_space_group_name_Hall 'F -4 2 3'
_cell_length_a 6.330
_cell_length_b 6.330
_cell_length_c 6.330
_cell_angle_alpha 90.00
_cell_angle_beta 90.00
_cell_angle_gamma 90.00
loop_
_atom_site_label
_atom_site_type_symbol
_atom_site_fract_x
_atom_site_fract_y
_atom_site_fract_z
Ho1 Ho 0.000 0.000 0.000
Ni1 Ni 0.250 0.250 0.750
Mo1 Mo 0.250 0.250 0.250
# E_form ... 3.65 eV/f.u.
# Size of the total moment ... 0.967 μB per atom
# Energy above the most stable polymorph in this dataset ... 0.743 eV/atom